# La2CrP PBE optimized geometry
# DFT total energy   -0.2427 Ha/atom
# Size of the total moment   0.77 μB per atom
# D(E_F)   8.15 states/eV per cell
# Formation energy   -0.3835 eV per atom
data_La2CrP
_chemical_formula_sum 'La4 Cr2 P2'
_cell_length_a 3.866
_cell_length_b 4.387
_cell_length_c 11.764
_cell_angle_alpha 90.00
_cell_angle_beta 90.00
_cell_angle_gamma 90.00
_space_group_name_H-M_alt 'I m m 2'
_space_group_IT_number 44
loop_
_space_group_symop_operation_xyz
'x,y,z'
'-x,-y,z'
'-x,y,z'
'x,-y,z'
'x+1/2,y+1/2,z+1/2'
'-x+1/2,-y+1/2,z+1/2'
'-x+1/2,y+1/2,z+1/2'
'x+1/2,-y+1/2,z+1/2'
loop_
_atom_site_label
_atom_site_fract_x
_atom_site_fract_y
_atom_site_fract_z
_atom_site_occupancy
La1 0.000 0.000 0.000 1
La2 0.000 0.500 0.232 1
Cr1 0.000 0.500 0.786 1
P1 0.000 0.000 0.417 1

---

# SiOsCl PBE optimized geometry
# DFT total energy   -0.2070 Ha/atom
# Size of the total moment   0.00 μB per atom
# D(E_F)   7.32 states/eV per cell
# Energy relative to the lowest polymorph listed for this composition   284 meV per atom
data_SiOsCl
_chemical_formula_sum 'Si4 Os4 Cl4'
_cell_length_a 3.053
_cell_length_b 5.263
_cell_length_c 12.003
_cell_angle_alpha 90.00
_cell_angle_beta 90.00
_cell_angle_gamma 90.00
_space_group_name_H-M_alt 'F m m 2'
_space_group_IT_number 42
_space_group_name_Hall 'F 2 -2'
loop_
_atom_site_label
_atom_site_fract_x
_atom_site_fract_y
_atom_site_fract_z
_atom_site_occupancy
Si1 0.000 0.000 0.000 1
Os1 0.000 0.000 0.357 1
Cl1 0.000 0.000 0.674 1

---

# Ca2Ga3Pd4Au PBE optimized geometry
# DFT total energy   -0.1618 Ha/atom
# Size of the total moment   0.00 μB per atom
# D(E_F)   2.77 states/eV per cell
# Formation energy   -0.6887 eV per atom
data_Ca2Ga3Pd4Au
_chemical_formula_sum 'Ca2 Ga3 Pd4 Au1'
_cell_length_a 4.184
_cell_length_b 4.184
_cell_length_c 11.169
_cell_angle_alpha 90.00
_cell_angle_beta 90.00
_cell_angle_gamma 90.00
_space_group_name_H-M_alt 'P -4 m 2'
_space_group_IT_number 115
loop_
_space_group_symop_operation_xyz
'x,y,z'
'y,-x,-z'
'-x,-y,z'
'-y,x,-z'
'-x,y,z'
'-y,-x,-z'
'x,-y,z'
'y,x,-z'
loop_
_atom_site_label
_atom_site_fract_x
_atom_site_fract_y
_atom_site_fract_z
_atom_site_occupancy
Ca1 0.000 0.500 0.242 1
Ga1 0.000 0.000 0.000 1
Ga2 0.000 0.500 0.627 1
Pd1 0.000 0.000 0.500 1
Pd2 0.000 0.500 0.845 1
Pd3 0.500 0.500 0.500 1
Au1 0.500 0.500 0.000 1

---

# Ac3LaRh3 PBE optimized geometry
# DFT total energy   -0.2298 Ha/atom
# Size of the total moment   0.00 μB per atom
# D(E_F)   22.62 states/eV per cell
# Formation energy   -0.6389 eV per atom
# Energy relative to the lowest polymorph listed for this composition   0 meV per atom
data_Ac3LaRh3
_chemical_formula_sum 'Ac24 La8 Rh24'
_cell_length_a 12.005
_cell_length_b 12.005
_cell_length_c 12.005
_cell_angle_alpha 90.00
_cell_angle_beta 90.00
_cell_angle_gamma 90.00
_space_group_name_H-M_alt 'I 41 3 2'
_space_group_IT_number 214
_space_group_name_Hall 'I 4bd 2c 3'
loop_
_atom_site_label
_atom_site_fract_x
_atom_site_fract_y
_atom_site_fract_z
_atom_site_occupancy
Ac1 0.120 0.375 0.370 1
La1 0.125 0.125 0.125 1
Rh1 0.122 0.125 0.872 1

---

# ErZnGa3 PBE optimized geometry
# DFT total energy   -0.1180 Ha/atom
# Size of the total moment   0.00 μB per atom
# D(E_F)   4.94 states/eV per cell
# Formation energy   -0.2280 eV per atom
data_ErZnGa3
_chemical_formula_sum 'Er2 Zn2 Ga6'
_cell_length_a 5.605
_cell_length_b 3.071
_cell_length_c 11.582
_cell_angle_alpha 90.00
_cell_angle_beta 90.00
_cell_angle_gamma 90.00
_space_group_name_H-M_alt 'P m m a'
_space_group_IT_number 51
loop_
_space_group_symop_operation_xyz
'x,y,z'
'-x,-y,-z'
'-x+1/2,-y,z'
'x+1/2,y,-z'
'x+1/2,-y,-z'
'-x+1/2,y,z'
'-x,y,-z'
'x,-y,z'
loop_
_atom_site_label
_atom_site_fract_x
_atom_site_fract_y
_atom_site_fract_z
_atom_site_occupancy
Er1 0.250 0.000 0.193 1
Zn1 0.250 0.500 0.801 1
Ga1 0.000 0.500 0.000 1
Ga2 0.008 0.500 0.390 1

---

# BaIr2 PBE optimized geometry
# DFT total energy   -0.2416 Ha/atom
# Size of the total moment   0.00 μB per atom
# D(E_F)   13.09 states/eV per cell
# Formation energy   -0.0251 eV per atom
data_BaIr2
_chemical_formula_sum 'Ba4 Ir8'
_cell_length_a 4.541
_cell_length_b 4.541
_cell_length_c 14.564
_cell_angle_alpha 90.00
_cell_angle_beta 90.00
_cell_angle_gamma 90.00
_space_group_name_H-M_alt 'I 41/a m d'
_space_group_IT_number 141
loop_
_space_group_symop_operation_xyz
'x,y,z'
'-x,-y,-z'
'-y+1/4,x+3/4,z+1/4'
'y+1/4,-x+3/4,-z+1/4'
'-x+1/2,-y,z+1/2'
'x+1/2,y,-z+1/2'
'y+1/4,-x+1/4,z+3/4'
'-y+1/4,x+1/4,-z+3/4'
'x,-y,-z'
'-x,y,z'
'-y+1/4,-x+1/4,-z+3/4'
'y+1/4,x+1/4,z+3/4'
'-x+1/2,y,-z+1/2'
'x+1/2,-y,z+1/2'
'y+1/4,x+3/4,-z+1/4'
'-y+1/4,-x+3/4,z+1/4'
'x+1/2,y+1/2,z+1/2'
'-x+1/2,-y+1/2,-z+1/2'
'-y+3/4,x+1/4,z+3/4'
'y+3/4,-x+1/4,-z+3/4'
'-x,-y+1/2,z'
'x,y+1/2,-z'
'y+3/4,-x+3/4,z+1/4'
'-y+3/4,x+3/4,-z+1/4'
'x+1/2,-y+1/2,-z+1/2'
'-x+1/2,y+1/2,z+1/2'
'-y+3/4,-x+3/4,-z+1/4'
'y+3/4,x+3/4,z+1/4'
'-x,y+1/2,-z'
'x,-y+1/2,z'
'y+3/4,x+1/4,-z+3/4'
'-y+3/4,-x+1/4,z+3/4'
loop_
_atom_site_label
_atom_site_fract_x
_atom_site_fract_y
_atom_site_fract_z
_atom_site_occupancy
Ba1 0.000 0.250 0.375 1
Ir1 0.000 0.250 0.790 1

---

# Nd6SiBr8 PBE optimized geometry
# DFT total energy   -0.1707 Ha/atom
# Size of the total moment   0.00 μB per atom
# D(E_F)   12.96 states/eV per cell
data_Nd6SiBr8
_chemical_formula_sum 'Nd18 Si3 Br24'
_cell_length_a 7.4347
_cell_length_b 7.4347
_cell_length_c 32.1335
_cell_angle_alpha 90.00
_cell_angle_beta 90.00
_cell_angle_gamma 120.00
_space_group_name_H-M_alt 'R -3'
_space_group_IT_number 148
_space_group_name_Hall '-R 3'
loop_
_atom_site_label
_atom_site_fract_x
_atom_site_fract_y
_atom_site_fract_z
_atom_site_occupancy
Nd1 0.0000 0.3002 0.0519 1
Si1 0.0000 0.0000 0.0000 1
Br1 0.0000 0.0000 0.3333 1
Br2 0.0000 0.3421 0.8934 1

---

# PmSi2IrOs PBE optimized geometry
# DFT total energy   -0.2957 Ha/atom
# Size of the total moment   0.00 μB per atom
# D(E_F)   4.10 states/eV per cell
data_PmSi2IrOs
_chemical_formula_sum 'Pm2 Si4 Ir2 Os2'
_cell_length_a 4.169
_cell_length_b 4.169
_cell_length_c 9.920
_cell_angle_alpha 90.00
_cell_angle_beta 90.00
_cell_angle_gamma 90.00
_space_group_name_H-M_alt 'I -4 m 2'
_space_group_IT_number 119
_space_group_name_Hall 'I -4 -2'
loop_
_atom_site_label
_atom_site_fract_x
_atom_site_fract_y
_atom_site_fract_z
_atom_site_occupancy
Pm1 0.000 0.000 0.000 1
Si1 0.000 0.000 0.372 1
Ir1 0.000 0.500 0.250 1
Os1 0.000 0.500 0.750 1

---

# BaTcPbO6 PBE optimized geometry
# DFT total energy   -0.2438 Ha/atom
# Size of the total moment   0.00 μB per atom
# D(E_F)   3.13 states/eV per cell
data_BaTcPbO6
_chemical_formula_sum 'Ba1 Tc1 Pb1 O6'
_cell_length_a 5.6512
_cell_length_b 5.6512
_cell_length_c 5.5820
_cell_angle_alpha 90.00
_cell_angle_beta 90.00
_cell_angle_gamma 120.00
_space_group_name_H-M_alt 'P 3 1 2'
_space_group_IT_number 149
loop_
_space_group_symop_operation_xyz
'x,y,z'
'-y,x-y,z'
'-x+y,-x,z'
'-y,-x,-z'
'-x+y,y,-z'
'x,x-y,-z'
loop_
_atom_site_label
_atom_site_fract_x
_atom_site_fract_y
_atom_site_fract_z
_atom_site_occupancy
Ba1 0.0000 0.0000 0.0000 1
Tc1 0.6667 0.3333 0.5000 1
Pb1 0.3333 0.6667 0.5000 1
O1 0.4108 0.0407 0.7028 1

---

# ScNiAg2 PBE optimized geometry
# DFT total energy   -0.1623 Ha/atom
# Size of the total moment   0.00 μB per atom
# D(E_F)   5.05 states/eV per cell
# Formation energy   0.0379 eV per atom
data_ScNiAg2
_chemical_formula_sum 'Sc2 Ni2 Ag4'
_cell_length_a 5.491
_cell_length_b 7.838
_cell_length_c 3.192
_cell_angle_alpha 90.00
_cell_angle_beta 90.00
_cell_angle_gamma 90.00
_space_group_name_H-M_alt 'C m m m'
_space_group_IT_number 65
_space_group_name_Hall '-C 2 2'
loop_
_atom_site_label
_atom_site_fract_x
_atom_site_fract_y
_atom_site_fract_z
_atom_site_occupancy
Sc1 0.000 0.000 0.000 1
Ni1 0.000 0.500 0.000 1
Ag1 0.250 0.250 0.500 1

---

# Li2ZnAs PBE optimized geometry
# DFT total energy   -0.0992 Ha/atom
# Size of the total moment   0.00 μB per atom
# D(E_F)   2.49 states/eV per cell
# Formation energy   -0.2627 eV per atom
# Energy relative to the lowest polymorph listed for this composition   136 meV per atom
data_Li2ZnAs
_chemical_formula_sum 'Li4 Zn2 As2'
_cell_length_a 8.470
_cell_length_b 2.931
_cell_length_c 5.362
_cell_angle_alpha 90.00
_cell_angle_beta 98.63
_cell_angle_gamma 90.00
_space_group_name_H-M_alt 'C 1 2/m 1'
_space_group_IT_number 12
loop_
_space_group_symop_operation_xyz
'x,y,z'
'-x,-y,-z'
'-x,y,-z'
'x,-y,z'
'x+1/2,y+1/2,z'
'-x+1/2,-y+1/2,-z'
'-x+1/2,y+1/2,-z'
'x+1/2,-y+1/2,z'
loop_
_atom_site_label
_atom_site_fract_x
_atom_site_fract_y
_atom_site_fract_z
_atom_site_occupancy
Li1 0.242 0.000 0.225 1
Zn1 0.000 0.000 0.500 1
As1 0.000 0.500 0.000 1

---

# PaHgB2O8 PBE optimized geometry
# DFT total energy   -0.2591 Ha/atom
# Size of the total moment   0.25 μB per atom
# D(E_F)   10.57 states/eV per cell
data_PaHgB2O8
_chemical_formula_sum 'Pa2 Hg2 B4 O16'
_cell_length_a 8.846
_cell_length_b 5.517
_cell_length_c 7.920
_cell_angle_alpha 90.00
_cell_angle_beta 104.01
_cell_angle_gamma 90.00
_space_group_name_H-M_alt 'C 1 2/m 1'
_space_group_IT_number 12
loop_
_space_group_symop_operation_xyz
'x,y,z'
'-x,-y,-z'
'-x,y,-z'
'x,-y,z'
'x+1/2,y+1/2,z'
'-x+1/2,-y+1/2,-z'
'-x+1/2,y+1/2,-z'
'x+1/2,-y+1/2,z'
loop_
_atom_site_label
_atom_site_fract_x
_atom_site_fract_y
_atom_site_fract_z
_atom_site_occupancy
Pa1 0.000 0.000 0.000 1
Hg1 0.000 0.000 0.500 1
B1 0.195 0.500 0.225 1
O1 0.101 0.282 0.186 1
O2 0.188 0.000 0.876 1
O3 0.235 0.000 0.585 1